Entry 1:
6
Lattice="-3.624 -2.670 0.372 3.920 -1.240 1.869 -2.195 3.991 7.252" Properties=species:S:1:pos:R:3 comment="BaErCu2Sb2 | OQMD | GGA-PBE | optimized geometry" spacegroup="P-3m1 (164)" pbc="T T T"
Sb 0.370 0.166 4.791
Sb -1.173 -2.077 1.082
Cu 1.243 -1.422 1.905
Cu -2.046 -0.490 3.966
Ba -1.647 2.995 5.442
Er -0.549 0.999 1.815

---

Entry 2:
4
Lattice="0.000 3.265 3.265 3.265 0.000 3.265 3.265 3.265 0.000" Properties=species:S:1:pos:R:3 comment="FeSbWAu | OQMD | GGA-PBE | optimized geometry" spacegroup="F-43m (216)" pbc="T T T"
Sb 0.000 0.000 0.000
W 3.265 3.265 3.265
Fe 4.897 4.897 4.897
Au 1.632 1.632 1.632

---

Entry 3:
8
Lattice="4.610 0.000 0.000 0.000 4.610 0.000 0.000 0.000 7.476" Properties=species:S:1:pos:R:3 comment="MgHgSO | OQMD | GGA-PBE | optimized geometry" spacegroup="P4/nmm (129)" pbc="T T T"
Mg 1.152 3.457 0.000
Mg 3.457 1.152 0.000
O 1.152 1.152 2.658
O 3.457 3.457 4.818
Hg 3.457 3.457 2.353
Hg 1.152 1.152 5.123
S 3.457 3.457 6.404
S 1.152 1.152 1.073

---

Entry 4:
24
Lattice="-11.641 -2.978 4.741 -0.428 -2.922 -2.888 5.178 -8.222 7.551" Properties=species:S:1:pos:R:3 comment="ZrInCuTe3 | OQMD | GGA-PBE | optimized geometry" spacegroup="Pnma (62)" pbc="T T T"
In -7.234 -8.514 5.258
In -3.765 -3.291 -0.542
In -3.127 -10.831 9.946
In 0.342 -5.608 4.147
Te -5.471 -8.618 8.055
Te -4.867 -3.414 2.700
Te -2.024 -10.708 6.704
Te -2.133 -8.098 4.079
Te 2.798 -7.633 2.878
Te -4.759 -6.024 5.325
Te -9.689 -6.489 6.527
Te -6.091 -12.545 9.166
Te 1.050 -8.240 6.705
Te -7.941 -5.882 2.700
Te -0.801 -1.577 0.238
Te -1.421 -5.504 1.350
Zr -2.964 -7.928 6.985
Zr -3.927 -6.194 2.419
Zr -10.501 -6.488 3.692
Zr 3.609 -7.634 5.712
Cu 0.677 -8.547 4.117
Cu -2.344 -3.140 2.048
Cu -4.547 -10.982 7.356
Cu -7.569 -5.575 5.287

---

Entry 5:
10
Lattice="-4.094 1.071 4.606 2.665 0.936 5.581 -0.156 5.956 1.906" Properties=species:S:1:pos:R:3 comment="CsSmF3 | OQMD | GGA-PBE | optimized geometry" spacegroup="R3c (161)" pbc="T T T"
F 0.959 5.242 6.859
F -1.338 2.977 8.049
F 0.806 2.269 5.873
F -0.238 4.942 3.976
F -2.536 2.676 5.167
F -2.381 5.649 6.153
Sm -1.580 7.939 12.057
Sm -0.788 3.958 6.011
Cs -1.183 5.945 9.029
Cs -0.391 1.963 2.982

---

Entry 6:
4
Lattice="-4.362 1.864 0.359 -2.310 1.420 -3.910 -3.770 -2.449 -1.557" Properties=species:S:1:pos:R:3 comment="KNaFeOs | OQMD | GGA-PBE | optimized geometry" spacegroup="F-43m (216)" pbc="T T T"
Na -7.831 0.626 -3.831
Fe 0.000 0.000 0.000
K -5.221 0.417 -2.554
Os -2.610 0.209 -1.277

---

Entry 7:
9
Lattice="-1.254 3.654 -2.255 -6.681 -3.895 -2.596 -0.232 4.224 6.974" Properties=species:S:1:pos:R:3 comment="Ba3TlPdPt2Pb2 | OQMD | GGA-PBE | optimized geometry" spacegroup="Amm2 (38)" pbc="T T T"
Pb -5.918 3.084 3.852
Pb -7.456 1.147 1.569
Pt -3.030 3.381 2.728
Pt -5.234 0.607 -0.542
Ba -0.113 1.748 2.896
Ba -2.780 -1.611 -1.063
Ba -4.009 0.191 2.539
Tl -2.293 1.906 -0.072
Pd -6.867 0.327 4.350

---

Entry 8:
3
Lattice="5.219 -0.656 -1.311 3.043 -3.583 2.699 1.629 -4.557 -2.443" Properties=species:S:1:pos:R:3 comment="RbZrPb | OQMD | GGA-PBE | optimized geometry" spacegroup="F-43m (216)" pbc="T T T"
Zr 7.418 -6.597 -0.792
Rb 2.473 -2.199 -0.264
Pb 0.000 0.000 0.000

---

Entry 9:
3
Lattice="0.000 3.002 3.002 3.002 0.000 3.002 3.002 3.002 0.000" Properties=species:S:1:pos:R:3 comment="AlCdCo | OQMD | GGA-PBE | optimized geometry" spacegroup="F-43m (216)" pbc="T T T"
Co 3.002 3.002 3.002
Al 0.000 0.000 0.000
Cd 1.501 1.501 1.501

---

Entry 10:
9
Lattice="-2.815 2.749 -1.133 -4.558 -2.472 5.329 4.791 5.500 1.443" Properties=species:S:1:pos:R:3 comment="PrDy2Mg3Pt3 | OQMD | GGA-PBE | optimized geometry" spacegroup="Amm2 (38)" pbc="T T T"
Pr 0.136 1.775 3.970
Mg -1.351 2.106 1.069
Mg 2.206 5.531 0.543
Mg -4.844 -0.480 3.473
Pt 0.313 4.249 2.136
Pt -2.896 1.513 3.470
Pt 0.002 0.021 0.048
Dy 1.958 2.249 0.593
Dy -1.862 -1.008 2.181

---

Entry 11:
5
Lattice="0.356 0.618 -3.728 -2.025 -3.130 -0.712 -4.205 4.504 2.277" Properties=species:S:1:pos:R:3 comment="Re2OsW2 | OQMD | GGA-PBE | optimized geometry" spacegroup="I4/mmm (139)" e_form_ev_per_atom=1.216 pbc="T T T"
W -3.978 2.564 0.045
W -1.896 -0.572 -2.208
Re -2.342 1.933 -1.835
Re -3.532 0.059 -0.327
Os 0.000 0.000 0.000

---

Entry 12:
30
Lattice="-4.456 3.593 -3.199 -1.772 -5.619 2.878 -2.339 5.663 9.618" Properties=species:S:1:pos:R:3 comment="NdAsN2O | OQMD | GGA-PBE | optimized geometry" spacegroup="P6_3cm (185)" pbc="T T T"
N -1.968 -1.666 5.233
N -6.030 3.498 7.965
N -3.551 6.074 7.051
N -2.740 -0.146 8.252
N -4.577 6.158 4.093
N -3.493 3.060 6.181
N -0.917 -0.906 2.381
N -1.764 2.001 0.464
N -3.003 1.270 3.252
N -4.620 -0.519 1.253
N -2.609 2.841 9.183
N -3.710 4.313 1.288
Nd -4.121 1.877 1.128
Nd -4.395 1.639 7.963
Nd -3.226 -1.193 3.154
Nd -0.629 1.524 2.587
Nd -5.290 4.709 5.937
Nd -1.798 4.355 7.396
O -4.763 3.434 3.772
O -1.135 2.748 4.666
O -2.700 -2.468 0.988
O -3.869 0.364 5.797
O -2.304 5.579 9.475
O -3.594 0.602 -1.037
As -4.150 -1.342 -0.202
As -4.140 5.231 2.691
As -2.352 -0.903 6.738
As -1.491 1.207 -1.056
As -0.595 -1.870 0.974
As -3.253 2.162 4.714

---

Total DFT energy (no corrections) per entry: -4.37; -6.37; -3.29; -4.52; -5.23; -4.12; -4.22; -3.58; -3.32; -5.02; -11.18; -6.88 eV/atom